VASP calculation (PBE) on an optimized crystal structure of CaGdIn.

Lattice parameters (Å, degrees): 7.6319 7.6319 7.6319 152.68 152.68 39.02
With the nearest neighbours (Å) after each atom.
Fractional positions:
Ca: 0.0000 0.0000 0.0000  4 In 3.36, 4 Ca 3.60
Gd: 0.2945 0.2945 0.0000  4 In 3.27, 4 Gd 3.60
In: 0.6520 0.6520 0.0000  4 Gd 3.27, 4 Ca 3.36, 4 In 3.60

Output
Energy above the lowest structure with this stoichiometry   0 meV per atom
Space-group type   I4mm, No. 107
Energy of formation   -286 meV per atom
Calculated total energy   -6.560 eV per atom
Total magnetization   7.554 μB/cell

=====

VASP calculation (PBE) on an optimized crystal structure of Sc2CdSb.

Lattice parameters (Å, degrees): 9.8908 9.8908 9.8908 22.25 22.25 22.25
With the nearest neighbours (Å) after each atom.
Fractional positions:
Sc: 0.1048 0.1048 0.1048  3 Sb 2.84, 1 Cd 3.03
Sc: 0.8952 0.8952 0.8952  3 Sb 2.84, 1 Cd 3.03
Cd: 0.0000 0.0000 0.0000  2 Sc 3.03
Sb: 0.5000 0.5000 0.5000  6 Sc 2.84

Output
Energy above the lowest structure with this stoichiometry   482 meV per atom
Space-group type   R-3m, No. 166
Uncorrected formation energy   -0.0342 eV/atom
Calculated total energy   -4.459 eV per atom
Total magnetization   0.000 μB/cell